Here is an optimized crystal structure of FeAsNF2 from the Alexandria database. Energies are from PBE with a Hubbard U.

Output
VASP energy: -4.69 eV/atom
V: 71 Å³/cell
M_tot: 4.2 Bohr magnetons per cell

abc: 4.1408 4.1408 4.1315
angles: 90.00 90.00 90.00
Last column: nearest neighbours and their distance in Å.
Space group P4/mmm (No. 123)
One atom of each set of equivalent atoms:
Fe  0.0000  0.0000  0.0000  8 F 2.92, 4 N 2.93
As  0.5000  0.5000  0.5000  2 N 2.07, 4 F 2.07
N  0.5000  0.5000  0.0000  2 As 2.07
F  0.0000  0.5000  0.5000  2 As 2.07